(1)
## SbAs2P (PBE)

Data for crystalline SbAs2P at its relaxed geometry.

Results
Relative energy among the computed polymorphs = 1.63 eV/f.u.
Formation energy from raw total energies = 1.81 eV/f.u.

a = 3.299 Å, b = 3.299 Å, c = 7.501 Å
α = 90.00°, β = 90.00°, γ = 90.00°
Fractional positions:
Sb (0.000, 0.000, 0.000)
As (0.500, 0.500, 0.313)
As (0.500, 0.500, 0.687)
P (0.000, 0.000, 0.500)

---

(2)
## SbAsP (PBE)

Data for crystalline SbAsP at its relaxed geometry.

Results
Relative energy among the computed polymorphs = 0.00 eV/f.u.
Formation energy from raw total energies = 0.54 eV/f.u.

a = 3.948 Å, b = 3.948 Å, c = 4.797 Å
α = 90.00°, β = 90.00°, γ = 120.00°
Fractional positions:
Sb (0.000, 0.000, 0.000)
As (0.667, 0.333, 0.369)
P (0.333, 0.667, 0.667)

---

(3)
## Sc4Sb2AsP (PBE)

Data for crystalline Sc4Sb2AsP at its relaxed geometry.

Results
Formation energy from raw total energies = -9.31 eV/f.u.

a = 6.845 Å, b = 3.940 Å, c = 7.024 Å
α = 90.00°, β = 108.86°, γ = 90.00°
Fractional positions:
Sc (0.236, 0.000, 0.222)
Sc (0.254, 0.500, 0.775)
Sc (0.746, 0.500, 0.225)
Sc (0.764, 0.000, 0.778)
Sb (0.000, 0.000, 0.500)
Sb (0.500, 0.500, 0.500)
As (0.500, 0.000, 0.000)
P (0.000, 0.500, 0.000)

---

(4)
## Sc6SbAs2P3 (PBE)

Data for crystalline Sc6SbAs2P3 at its relaxed geometry.

Results
Formation energy from raw total energies = -16.05 eV/f.u.

a = 8.654 Å, b = 8.654 Å, c = 7.771 Å
α = 103.30°, β = 103.30°, γ = 25.66°
Fractional positions:
Sc (0.002, 0.002, 0.229)
Sc (0.325, 0.325, 0.417)
Sc (0.334, 0.334, 0.912)
Sc (0.666, 0.666, 0.088)
Sc (0.675, 0.675, 0.583)
Sc (0.998, 0.998, 0.771)
Sb (0.500, 0.500, 0.500)
As (0.167, 0.167, 0.834)
As (0.833, 0.833, 0.166)
P (0.165, 0.165, 0.332)
P (0.500, 0.500, 0.000)
P (0.835, 0.835, 0.668)

---

(5)
## SbAsPSe2 (PBE)

Data for crystalline SbAsPSe2 at its relaxed geometry.

Results
Relative energy among the computed polymorphs = 0.00 eV/f.u.
Formation energy from raw total energies = 2.22 eV/f.u.

a = 4.909 Å, b = 4.909 Å, c = 4.721 Å
α = 90.00°, β = 90.00°, γ = 90.00°
Fractional positions:
Sb (0.000, 0.000, 0.000)
As (0.500, 0.500, 0.000)
P (0.500, 0.500, 0.500)
Se (0.000, 0.500, 0.500)
Se (0.500, 0.000, 0.500)

---

(6)
## SbAsP2Se (PBE)

Data for crystalline SbAsP2Se at its relaxed geometry.

Results
Formation energy from raw total energies = 4.57 eV/f.u.

a = 4.613 Å, b = 4.613 Å, c = 5.732 Å
α = 90.00°, β = 90.00°, γ = 90.00°
Fractional positions:
Sb (0.000, 0.000, 0.000)
As (0.000, 0.000, 0.500)
P (0.000, 0.500, 0.500)
P (0.500, 0.000, 0.500)
Se (0.500, 0.500, 0.000)

---

(7)
## SbAsPSe2 (PBE)

Data for crystalline SbAsPSe2 at its relaxed geometry.

Results
Relative energy among the computed polymorphs = 3.38 eV/f.u.
Formation energy from raw total energies = 5.61 eV/f.u.

a = 5.220 Å, b = 5.220 Å, c = 5.501 Å
α = 90.00°, β = 90.00°, γ = 90.00°
Fractional positions:
Sb (0.000, 0.000, 0.000)
As (0.000, 0.000, 0.500)
P (0.500, 0.500, 0.500)
Se (0.000, 0.500, 0.000)
Se (0.500, 0.000, 0.000)

---

(8)
## Sm4Sb2AsP (PBE)

Data for crystalline Sm4Sb2AsP at its relaxed geometry.

Results
Formation energy from raw total energies = -10.71 eV/f.u.

a = 7.437 Å, b = 4.294 Å, c = 7.533 Å
α = 90.00°, β = 109.18°, γ = 90.00°
Fractional positions:
Sm (0.240, 0.000, 0.229)
Sm (0.253, 0.500, 0.769)
Sm (0.747, 0.500, 0.231)
Sm (0.760, 0.000, 0.771)
Sb (0.000, 0.000, 0.500)
Sb (0.500, 0.500, 0.500)
As (0.500, 0.000, 0.000)
P (0.000, 0.500, 0.000)

---

(9)
## SnSbAsP2 (PBE)

Data for crystalline SnSbAsP2 at its relaxed geometry.

Results
Formation energy from raw total energies = 3.71 eV/f.u.

a = 4.732 Å, b = 4.732 Å, c = 5.471 Å
α = 90.00°, β = 90.00°, γ = 90.00°
Fractional positions:
Sn (0.000, 0.000, 0.000)
Sb (0.500, 0.500, 0.000)
As (0.000, 0.000, 0.500)
P (0.000, 0.500, 0.500)
P (0.500, 0.000, 0.500)

---

(10)
## SnSb2AsP (PBE)

Data for crystalline SnSb2AsP at its relaxed geometry.

Results
Formation energy from raw total energies = 6.24 eV/f.u.

a = 5.611 Å, b = 5.611 Å, c = 5.122 Å
α = 90.00°, β = 90.00°, γ = 90.00°
Fractional positions:
Sn (0.000, 0.000, 0.000)
Sb (0.000, 0.500, 0.000)
Sb (0.500, 0.000, 0.000)
As (0.000, 0.000, 0.500)
P (0.500, 0.500, 0.500)

---

(11)
## Sr6SbAs2P (PBE)

Data for crystalline Sr6SbAs2P at its relaxed geometry.

Results
Formation energy from raw total energies = -10.23 eV/f.u.

a = 7.880 Å, b = 8.354 Å, c = 13.629 Å
α = 90.00°, β = 123.48°, γ = 90.00°
Fractional positions:
Sr (0.085, 0.100, 0.236)
Sr (0.085, 0.400, 0.736)
Sr (0.292, 0.706, 0.109)
Sr (0.292, 0.794, 0.609)
Sr (0.366, 0.162, 0.042)
Sr (0.366, 0.338, 0.542)
Sr (0.634, 0.662, 0.458)
Sr (0.634, 0.838, 0.958)
Sr (0.708, 0.206, 0.391)
Sr (0.708, 0.294, 0.891)
Sr (0.915, 0.600, 0.264)
Sr (0.915, 0.900, 0.764)
Sb (0.500, 0.000, 0.500)
Sb (0.500, 0.500, 0.000)
As (0.291, 0.062, 0.777)
As (0.291, 0.438, 0.277)
As (0.709, 0.562, 0.723)
As (0.709, 0.938, 0.223)
P (0.000, 0.000, 0.000)
P (0.000, 0.500, 0.500)

---

(12)
## Tb6SbAs2P3 (PBE)

Data for crystalline Tb6SbAs2P3 at its relaxed geometry.

Results
Formation energy from raw total energies = -17.85 eV/f.u.

a = 9.236 Å, b = 9.236 Å, c = 8.282 Å
α = 103.17°, β = 103.17°, γ = 25.73°
Fractional positions:
Tb (0.001, 0.001, 0.233)
Tb (0.327, 0.327, 0.417)
Tb (0.334, 0.334, 0.913)
Tb (0.666, 0.666, 0.087)
Tb (0.673, 0.673, 0.583)
Tb (0.999, 0.999, 0.767)
Sb (0.500, 0.500, 0.500)
As (0.167, 0.167, 0.834)
As (0.833, 0.833, 0.166)
P (0.166, 0.166, 0.332)
P (0.500, 0.500, 0.000)
P (0.834, 0.834, 0.668)

---

(13)
## Tb6SbAs3P2 (PBE)

Data for crystalline Tb6SbAs3P2 at its relaxed geometry.

Results
Formation energy from raw total energies = -17.67 eV/f.u.

a = 9.264 Å, b = 9.264 Å, c = 8.314 Å
α = 102.73°, β = 102.73°, γ = 25.82°
Fractional positions:
Tb (0.003, 0.003, 0.265)
Tb (0.327, 0.327, 0.907)
Tb (0.331, 0.331, 0.420)
Tb (0.669, 0.669, 0.580)
Tb (0.673, 0.673, 0.093)
Tb (0.997, 0.997, 0.735)
Sb (0.500, 0.500, 0.000)
As (0.165, 0.165, 0.832)
As (0.500, 0.500, 0.500)
As (0.835, 0.835, 0.168)
P (0.168, 0.168, 0.336)
P (0.832, 0.832, 0.664)

---

(14)
## Tb4SbAs2P (PBE)

Data for crystalline Tb4SbAs2P at its relaxed geometry.

Results
Formation energy from raw total energies = -11.37 eV/f.u.

a = 7.232 Å, b = 4.172 Å, c = 7.258 Å
α = 90.00°, β = 109.37°, γ = 90.00°
Fractional positions:
Tb (0.242, 0.000, 0.236)
Tb (0.250, 0.500, 0.760)
Tb (0.750, 0.500, 0.240)
Tb (0.758, 0.000, 0.764)
Sb (0.500, 0.500, 0.500)
As (0.000, 0.000, 0.500)
As (0.000, 0.500, 0.000)
P (0.500, 0.000, 0.000)

---

(15)
## Sb2TeAsP (PBE)

Data for crystalline Sb2TeAsP at its relaxed geometry.

Results
Relative energy among the computed polymorphs = 0.00 eV/f.u.
Formation energy from raw total energies = 3.68 eV/f.u.

a = 5.171 Å, b = 5.171 Å, c = 5.234 Å
α = 90.00°, β = 90.00°, γ = 90.00°
Fractional positions:
Sb (0.000, 0.500, 0.000)
Sb (0.500, 0.000, 0.000)
Te (0.000, 0.000, 0.500)
As (0.500, 0.500, 0.500)
P (0.000, 0.000, 0.000)

---

(16)
## SbTe2AsP (PBE)

Data for crystalline SbTe2AsP at its relaxed geometry.

Results
Relative energy among the computed polymorphs = 0.00 eV/f.u.
Formation energy from raw total energies = 3.57 eV/f.u.

a = 5.225 Å, b = 5.225 Å, c = 5.156 Å
α = 90.00°, β = 90.00°, γ = 90.00°
Fractional positions:
Sb (0.000, 0.000, 0.000)
Te (0.000, 0.500, 0.500)
Te (0.500, 0.000, 0.500)
As (0.500, 0.500, 0.000)
P (0.000, 0.000, 0.500)

---

(17)
## Sb2TeAsP (PBE)

Data for crystalline Sb2TeAsP at its relaxed geometry.

Results
Relative energy among the computed polymorphs = 1.48 eV/f.u.
Formation energy from raw total energies = 5.16 eV/f.u.

a = 5.321 Å, b = 5.321 Å, c = 5.397 Å
α = 90.00°, β = 90.00°, γ = 90.00°
Fractional positions:
Sb (0.000, 0.500, 0.000)
Sb (0.500, 0.000, 0.000)
Te (0.000, 0.000, 0.500)
As (0.000, 0.000, 0.000)
P (0.500, 0.500, 0.500)

---

(18)
## SbTe2AsP (PBE)

Data for crystalline SbTe2AsP at its relaxed geometry.

Results
Relative energy among the computed polymorphs = 1.45 eV/f.u.
Formation energy from raw total energies = 5.02 eV/f.u.

a = 5.409 Å, b = 5.409 Å, c = 5.276 Å
α = 90.00°, β = 90.00°, γ = 90.00°
Fractional positions:
Sb (0.000, 0.000, 0.000)
Te (0.000, 0.500, 0.500)
Te (0.500, 0.000, 0.500)
As (0.000, 0.000, 0.500)
P (0.500, 0.500, 0.000)

---

(19)
## Th6Sb2As3P (PBE)

Data for crystalline Th6Sb2As3P at its relaxed geometry.

Results
Formation energy from raw total energies = -14.80 eV/f.u.

a = 9.656 Å, b = 9.656 Å, c = 8.700 Å
α = 102.97°, β = 102.97°, γ = 25.71°
Fractional positions:
Th (0.006, 0.006, 0.264)
Th (0.339, 0.339, 0.433)
Th (0.340, 0.340, 0.900)
Th (0.660, 0.660, 0.100)
Th (0.661, 0.661, 0.567)
Th (0.994, 0.994, 0.736)
Sb (0.167, 0.167, 0.837)
Sb (0.833, 0.833, 0.163)
As (0.171, 0.171, 0.338)
As (0.500, 0.500, 0.000)
As (0.829, 0.829, 0.662)
P (0.500, 0.500, 0.500)

---

(20)
## Th6Sb2AsP3 (PBE)

Data for crystalline Th6Sb2AsP3 at its relaxed geometry.

Results
Formation energy from raw total energies = -15.64 eV/f.u.

a = 9.611 Å, b = 9.611 Å, c = 8.641 Å
α = 103.97°, β = 103.97°, γ = 25.53°
Fractional positions:
Th (0.008, 0.008, 0.245)
Th (0.331, 0.331, 0.436)
Th (0.341, 0.341, 0.895)
Th (0.659, 0.659, 0.105)
Th (0.669, 0.669, 0.564)
Th (0.992, 0.992, 0.755)
Sb (0.167, 0.167, 0.836)
Sb (0.833, 0.833, 0.164)
As (0.500, 0.500, 0.500)
P (0.168, 0.168, 0.337)
P (0.500, 0.500, 0.000)
P (0.832, 0.832, 0.663)